(1)
{
  "formula": "ScSb2Rh",
  "functional": "PBE-GGA",
  "state": "relaxed",
  "total_magnetization_mub_per_fu": 0.00,
  "e_tot_ev_per_atom": -5.880,
  "space_group": "Pm",
  "lattice_angstrom": [[4.9039, 0.0000, 0.0000], [0.0000, 3.1929, -0.0288], [0.0000, 1.6317, 5.4849]],
  "species": ["Rh", "Sb", "Sb", "Sc"],
  "fractional_positions": [[0.5000, 0.9251, 0.7768], [0.0000, 0.8409, 0.9428], [0.5000, 0.1632, 0.2981], [0.0000, 0.5708, 0.4824]]
}


(2)
{
  "formula": "ReNiIr2",
  "functional": "PBE-GGA",
  "state": "relaxed",
  "total_magnetization_mub_per_fu": 0.00,
  "relative_energy_ev_per_fu": 1.21,
  "ef_ev_per_atom": 0.1570,
  "space_group": "Imm2",
  "lattice_angstrom": [[5.2747, 0.1633, 0.1776], [2.6129, 4.5850, -0.1776], [-3.4646, -3.1701, 2.4141]],
  "species": ["Ir", "Ni", "Ir", "Re"],
  "fractional_positions": [[0.0044, 0.0044, 0.0000], [0.4967, 0.4967, 0.0000], [0.7206, 0.2206, 0.5000], [0.2783, 0.7783, 0.5000]]
}


(3)
{
  "formula": "Tb2PtSe",
  "functional": "PBE-GGA",
  "state": "relaxed",
  "total_magnetization_mub_per_fu": 0.00,
  "relative_energy_ev_per_fu": 0.00,
  "space_group": "Cmcm",
  "lattice_angstrom": [[-3.8185, -1.9233, -0.7336], [0.2648, -1.8241, 3.4042], [-5.4441, 9.5375, 3.3330]],
  "species": ["Tb", "Tb", "Se", "Tb", "Se", "Pt", "Tb", "Pt"],
  "fractional_positions": [[0.2500, 0.3236, 0.6472], [0.7500, 0.6764, 0.3528], [0.7500, 0.8073, 0.6145], [0.7500, 0.9383, 0.8765], [0.2500, 0.1927, 0.3855], [0.2500, 0.4536, 0.9072], [0.2500, 0.0617, 0.1235], [0.7500, 0.5464, 0.0928]]
}